No. 1
{
  "formula": "NaErBe2F8",
  "functional": "GGA-PBE",
  "state": "relaxed",
  "cell": [[4.149, -2.764, 0.000], [4.149, 2.764, 0.000], [-0.169, 0.000, 7.376]],
  "species": ["Na", "Er", "Be", "Be", "F", "F", "F", "F", "F", "F", "F", "F"],
  "frac_coords": [[0.000, 0.000, 0.000], [0.000, 0.000, 0.500], [0.357, 0.357, 0.259], [0.643, 0.643, 0.741], [0.230, 0.703, 0.282], [0.253, 0.253, 0.439], [0.258, 0.258, 0.089], [0.297, 0.770, 0.718], [0.703, 0.230, 0.282], [0.742, 0.742, 0.911], [0.747, 0.747, 0.561], [0.770, 0.297, 0.718]],
  "vol_a3_per_atom": 14.10,
  "spacegroup": "No. 12",
  "raw_formation_energy_mev_per_atom": -3457,
  "dft_energy_ev_per_atom": -5.82
}

---

No. 2
{
  "formula": "Hf2VHPt",
  "functional": "GGA-PBE",
  "state": "relaxed",
  "cell": [[4.546, 0.000, 0.000], [0.000, 4.546, 0.000], [0.000, 0.000, 3.531]],
  "species": ["Hf", "Hf", "V", "H", "Pt"],
  "frac_coords": [[0.000, 0.500, 0.000], [0.500, 0.000, 0.000], [0.000, 0.000, 0.500], [0.000, 0.000, 0.000], [0.500, 0.500, 0.500]],
  "vol_a3_per_atom": 14.60,
  "polymorph_energy_mev_per_atom": 0,
  "spacegroup": "No. 123",
  "dft_energy_ev_per_atom": -8.18
}

---

No. 3
{
  "formula": "Al2CdCuAu4",
  "functional": "GGA-PBE",
  "state": "relaxed",
  "cell": [[2.257, 1.303, 7.722], [-2.257, 1.303, 7.722], [0.000, -2.606, 7.722]],
  "species": ["Al", "Al", "Cd", "Cu", "Au", "Au", "Au", "Au"],
  "frac_coords": [[0.245, 0.245, 0.245], [0.755, 0.755, 0.755], [0.000, 0.000, 0.000], [0.500, 0.500, 0.500], [0.128, 0.128, 0.128], [0.385, 0.385, 0.385], [0.615, 0.615, 0.615], [0.872, 0.872, 0.872]],
  "vol_a3_per_atom": 17.04,
  "spacegroup": "No. 166",
  "dft_energy_ev_per_atom": -3.42,
  "ef_ev_per_atom": -0.22
}

---

No. 4
{
  "formula": "BeSiRu4",
  "functional": "GGA-PBE",
  "state": "relaxed",
  "cell": [[0.000, 3.552, 3.552], [3.552, 0.000, 3.552], [3.552, 3.552, 0.000]],
  "species": ["Be", "Si", "Ru", "Ru", "Ru", "Ru"],
  "frac_coords": [[0.000, 0.000, 0.000], [0.250, 0.250, 0.250], [0.125, 0.625, 0.625], [0.625, 0.125, 0.625], [0.625, 0.625, 0.125], [0.625, 0.625, 0.625]],
  "vol_a3_per_atom": 14.94,
  "spacegroup": "No. 216",
  "raw_formation_energy_mev_per_atom": 732,
  "dft_energy_ev_per_atom": -6.98
}

---

Please write out number 2 again, unchanged.
{
  "formula": "Hf2VHPt",
  "functional": "GGA-PBE",
  "state": "relaxed",
  "cell": [[4.546, 0.000, 0.000], [0.000, 4.546, 0.000], [0.000, 0.000, 3.531]],
  "species": ["Hf", "Hf", "V", "H", "Pt"],
  "frac_coords": [[0.000, 0.500, 0.000], [0.500, 0.000, 0.000], [0.000, 0.000, 0.500], [0.000, 0.000, 0.000], [0.500, 0.500, 0.500]],
  "vol_a3_per_atom": 14.60,
  "polymorph_energy_mev_per_atom": 0,
  "spacegroup": "No. 123",
  "dft_energy_ev_per_atom": -8.18
}